1.
# CaReW3

CaReW3 after structural relaxation (PBE, Alexandria).

```
data_CaReW3
_chemical_formula_sum 'Ca1 Re1 W3'
_cell_length_a 4.856
_cell_length_b 4.856
_cell_length_c 4.856
_cell_angle_alpha 90.00
_cell_angle_beta 90.00
_cell_angle_gamma 90.00
_space_group_name_H-M_alt 'P 1'
_space_group_IT_number 1
loop_
_space_group_symop_operation_xyz
'x,y,z'
loop_
_atom_site_label
_atom_site_fract_x
_atom_site_fract_y
_atom_site_fract_z
Ca1 0.000 0.000 0.000
Re1 0.500 0.500 0.500
W1 0.000 0.500 0.500
W2 0.500 0.000 0.500
W3 0.500 0.500 0.000
```

Summary:
SG	Pm-3m
M_tot	1.01	μB/cell
energy of formation from the pure elements	1.613	eV/atom
calculated total energy	-45.24	eV for the cell shown
relative energy among the computed polymorphs	0	meV/atom

=====

2.
# CaRe2W

CaRe2W after structural relaxation (PBE, Alexandria).

```
data_CaRe2W
_chemical_formula_sum 'Ca1 Re2 W1'
_cell_length_a 4.554
_cell_length_b 4.554
_cell_length_c 4.554
_cell_angle_alpha 60.00
_cell_angle_beta 60.00
_cell_angle_gamma 60.00
_space_group_name_H-M_alt 'P 1'
_space_group_IT_number 1
loop_
_space_group_symop_operation_xyz
'x,y,z'
loop_
_atom_site_label
_atom_site_fract_x
_atom_site_fract_y
_atom_site_fract_z
Ca1 0.000 0.000 0.000
Re1 0.500 0.500 0.500
Re2 0.750 0.750 0.750
W1 0.250 0.250 0.250
```

Summary:
SG	F-43m
M_tot	0.00	μB/cell
energy of formation from the pure elements	0.692	eV/atom
calculated total energy	-37.08	eV for the cell shown
relative energy among the computed polymorphs	224	meV/atom

=====

3.
# CaReW

CaReW after structural relaxation (PBE, Alexandria).

```
data_CaReW
_chemical_formula_sum 'Ca1 Re1 W1'
_cell_length_a 6.196
_cell_length_b 6.196
_cell_length_c 6.196
_cell_angle_alpha 149.82
_cell_angle_beta 149.82
_cell_angle_gamma 43.20
_space_group_name_H-M_alt 'P 1'
_space_group_IT_number 1
loop_
_space_group_symop_operation_xyz
'x,y,z'
loop_
_atom_site_label
_atom_site_fract_x
_atom_site_fract_y
_atom_site_fract_z
Ca1 0.000 0.000 0.000
Re1 0.309 0.309 0.000
W1 0.702 0.702 0.000
```

Summary:
SG	I4mm
M_tot	0.00	μB/cell
energy of formation from the pure elements	0.492	eV/atom
calculated total energy	-25.93	eV for the cell shown
relative energy among the computed polymorphs	0	meV/atom